{"formula": "Hf2BS", "functional": "PBE", "state": "relaxed", "lattice_angstrom": [[-3.138, -1.185, 0.863], [-2.112, -1.249, -2.444], [0.604, -6.432, 0.312]], "species": ["S", "B", "Hf", "Hf"], "fractional_positions": [[0.499, 0.499, 0.502], [0.669, 0.669, 0.994], [0.068, 0.068, 0.796], [0.264, 0.264, 0.209]], "e_form_raw_ev_per_atom": -1.137, "polymorph_energy_ev_per_atom": 0.018, "n_ef_per_ev_fu": 1.97, "total_energy_ev_per_atom": -8.81}

{"formula": "RbSiSbPd2", "functional": "PBE", "state": "relaxed", "lattice_angstrom": [[5.156, 0.000, 0.000], [0.000, 5.156, 0.000], [0.000, 0.000, 5.276]], "species": ["Si", "Sb", "Pd", "Pd", "Rb"], "fractional_positions": [[0.000, 0.000, 0.500], [0.000, 0.000, 0.000], [0.500, 0.000, 0.000], [0.000, 0.500, 0.000], [0.500, 0.500, 0.500]], "e_form_raw_ev_per_atom": 0.261, "n_ef_per_ev_fu": 1.99, "total_energy_ev_per_atom": -3.92}

{"formula": "LiCe2Os", "functional": "PBE", "state": "relaxed", "lattice_angstrom": [[3.705, 0.000, 0.000], [0.000, 4.801, 0.000], [0.000, 0.000, 4.801]], "species": ["Os", "Li", "Ce", "Ce"], "fractional_positions": [[0.500, 0.500, 0.500], [0.500, 0.000, 0.000], [0.000, 0.500, 0.000], [0.000, 0.000, 0.500]], "n_ef_per_ev_fu": 6.95, "total_energy_ev_per_atom": -6.24, "formation_enthalpy_0k_ev_per_atom": 0.0101}

{"formula": "HoTlAg2", "functional": "PBE", "state": "relaxed", "lattice_angstrom": [[3.776, 0.000, 0.000], [0.000, 3.776, 0.000], [0.000, 0.000, 6.546]], "species": ["Ag", "Ag", "Tl", "Ho"], "fractional_positions": [[0.000, 0.000, 0.767], [0.000, 0.000, 0.233], [0.500, 0.500, 0.500], [0.500, 0.500, 0.000]], "n_ef_per_ev_fu": 1.89, "total_energy_ev_per_atom": -3.32, "formation_enthalpy_0k_ev_per_atom": -0.1568}

{"formula": "BeTl2W", "functional": "PBE", "state": "relaxed", "lattice_angstrom": [[7.367, 0.000, 0.000], [0.000, 7.367, 0.000], [3.684, 3.684, 2.808]], "species": ["Tl", "Tl", "W", "Tl", "Tl", "Be", "W", "Be"], "fractional_positions": [[0.580, 0.125, 0.250], [0.875, 0.830, 0.750], [0.000, 0.000, 0.000], [0.170, 0.625, 0.250], [0.375, 0.420, 0.750], [0.500, 0.500, 0.000], [0.750, 0.250, 0.500], [0.250, 0.750, 0.500]], "polymorph_energy_ev_per_atom": 0.578, "n_ef_per_ev_fu": 0.29, "total_energy_ev_per_atom": -4.10, "formation_enthalpy_0k_ev_per_atom": 1.2551}

{"formula": "Cs3K3CoBr8", "functional": "PBE", "state": "relaxed", "lattice_angstrom": [[-9.213, 0.807, -2.290], [2.841, -6.858, 5.972], [0.037, 9.382, 3.155]], "species": ["K", "Co", "Cs", "K", "Br", "Br", "Br", "Br", "Cs", "Br", "Cs", "Br", "Br", "K", "Br"], "fractional_positions": [[0.000, 0.500, 0.500], [0.000, 0.000, 0.500], [0.000, 0.000, 0.000], [0.500, 0.500, 0.500], [0.209, 0.013, 0.317], [0.741, 0.481, 0.722], [0.791, 0.987, 0.683], [0.804, 0.013, 0.317], [0.000, 0.500, 0.000], [0.259, 0.519, 0.278], [0.500, 0.500, 0.000], [0.196, 0.987, 0.683], [0.196, 0.392, 0.683], [0.500, 0.000, 0.500], [0.804, 0.608, 0.317]], "e_form_raw_ev_per_atom": -1.428, "n_ef_per_ev_fu": 0.57, "total_energy_ev_per_atom": -3.18}